K3W2F9 PBE+U relaxed; crystal system = trigonal; total moment = 6.00 μB per formula unit; total DFT energy (no corrections) = -5.0987 eV per atom; DOS(E_F) = 0.000 states/eV/cell; calculated volume = 477.8 Å³ per cell
1.0
7.8079 -0.1240 0.5634
0.5152 7.7919 0.5634
-0.1346 -0.1240 7.8271
K F W
6 18 4
direct
0.4032 0.7500 0.0968
0.2500 0.9032 0.5968
0.5968 0.2500 0.9032
0.0968 0.4032 0.7500
0.7500 0.0968 0.4032
0.9032 0.5968 0.2500
0.4121 0.5763 0.7591
0.5879 0.4237 0.2409
0.2500 0.3997 0.1003
0.4237 0.2409 0.5879
0.3997 0.1003 0.2500
0.9237 0.0879 0.7409
0.7500 0.6003 0.8997
0.8997 0.7500 0.6003
0.1003 0.2500 0.3997
0.0879 0.7409 0.9237
0.7409 0.9237 0.0879
0.2409 0.5879 0.4237
0.5763 0.7591 0.4121
0.9121 0.2591 0.0763
0.2591 0.0763 0.9121
0.0763 0.9121 0.2591
0.6003 0.8997 0.7500
0.7591 0.4121 0.5763
0.3554 0.3554 0.3554
0.1446 0.1446 0.1446
0.6446 0.6446 0.6446
0.8554 0.8554 0.8554